1.
An optimized crystal structure of Sm5Dy12Tm, computed with PBE-GGA.

It has space group C2/m (No. 12), with a = 18.4988 Å, b = 10.6793 Å, c = 6.1645 Å, α = 90.00°, β = 109.31° and γ = 90.00°. The asymmetric unit holds Sm at (0.0000, 0.0000, 0.0000), Sm at (0.1660, 0.5000, 0.9987), Sm at (0.1667, 0.0000, 0.5005), Dy at (0.0000, 0.1684, 0.5000), Dy at (0.0000, 0.3337, 0.0000), Dy at (0.1659, 0.3334, 0.4992), Dy at (0.1667, 0.1677, 0.0007) and Tm at (0.0000, 0.5000, 0.5000).

The energy of formation is 0.02 eV per atom. The total energy is -4.61 eV/atom.

2.
An optimized crystal structure of KSe2O, computed with PBE-GGA.

It has space group I4_1/amd (No. 141, origin choice 2), with a = 5.7043 Å, b = 5.7043 Å, c = 12.7328 Å, α = 90.00°, β = 90.00° and γ = 90.00°. The asymmetric unit holds K at (0.0000, 0.2500, 0.3750), Se at (0.0000, 0.0000, 0.0000) and O at (0.0000, 0.2500, 0.8750).

The uncorrected formation energy comes out at -0.4764 eV/atom. The total energy is -3.73 eV/atom.

3.
An optimized crystal structure of Li3Pr2TmTe6, computed with PBE-GGA.

It has space group C2/m (No. 12), with a = 7.6723 Å, b = 13.2897 Å, c = 7.5343 Å, α = 90.00°, β = 109.87° and γ = 90.00°. The asymmetric unit holds Li at (0.0000, 0.0000, 0.0000), Li at (0.0000, 0.3328, 0.0000), Pr at (0.0000, 0.1666, 0.5000), Tm at (0.0000, 0.5000, 0.5000), Te at (0.2349, 0.5000, 0.2417) and Te at (0.2475, 0.3393, 0.7604).

The uncorrected formation energy comes out at -1.2843 eV/atom. The total energy is -4.50 eV/atom.

4.
An optimized crystal structure of Sc2ReAg, computed with PBE-GGA.

It has space group P4mm (No. 99), with a = 3.6272 Å, b = 3.6272 Å, c = 5.8416 Å, α = 90.00°, β = 90.00° and γ = 90.00°. The asymmetric unit holds Sc at (0.0000, 0.0000, 0.0000), Sc at (0.5000, 0.5000, 0.3123), Re at (0.5000, 0.5000, 0.8281) and Ag at (0.0000, 0.0000, 0.5295).

The energy of formation is 0.18 eV per atom. The total energy is -6.81 eV/atom.

5.
An optimized crystal structure of DyY4Sc2, computed with PBE-GGA.

It has space group C2/m (No. 12), with a = 6.8387 Å, b = 9.8645 Å, c = 6.7436 Å, α = 90.00°, β = 107.31° and γ = 90.00°. The asymmetric unit holds Dy at (0.0000, 0.0000, 0.0000), Y at (0.1937, 0.2139, 0.7295), Sc at (0.0000, 0.5000, 0.0000) and Sc at (0.0000, 0.5000, 0.5000).

The energy of formation is 0.20 eV per atom. The calculation puts the energy relative to the lowest polymorph listed for this composition at 0.0599 eV/atom. The total energy is -5.96 eV/atom.

6.
An optimized crystal structure of Ho2SbSe, computed with PBE-GGA.

It has space group R-3m (No. 166, hexagonal axes), with a = 4.2253 Å, b = 4.2253 Å, c = 20.5946 Å, α = 90.00°, β = 90.00° and γ = 120.00°. The asymmetric unit holds Ho at (0.0000, 0.0000, 0.2459), Sb at (0.0000, 0.0000, 0.0000) and Se at (0.0000, 0.0000, 0.5000).

The uncorrected formation energy comes out at -1.4218 eV/atom. The calculation puts the energy relative to the lowest polymorph listed for this composition at 0.0019 eV/atom. The total energy is -5.61 eV/atom.